1.
# Al2CoOs (PBE, relaxed)
data_Al2CoOs
_chemical_formula_sum 'Al6 Co3 Os3'
_cell_length_a 2.7756
_cell_length_b 2.7756
_cell_length_c 24.1683
_cell_angle_alpha 90.00
_cell_angle_beta 90.00
_cell_angle_gamma 120.00
_space_group_name_H-M_alt 'R -3 m'
_space_group_IT_number 166
_space_group_name_Hall '-R 3 2"'
loop_
_atom_site_label
_atom_site_type_symbol
_atom_site_fract_x
_atom_site_fract_y
_atom_site_fract_z
Al1 Al 0.0000 0.0000 0.2449
Co1 Co 0.0000 0.0000 0.5000
Os1 Os 0.0000 0.0000 0.0000
# Energy of formation   -0.21 eV/atom
# E above lowest polymorph   0.299 eV per atom



2.
# AlCoOs2 (PBE, relaxed)
data_AlCoOs2
_chemical_formula_sum 'Al2 Co2 Os4'
_cell_length_a 8.813
_cell_length_b 2.729
_cell_length_c 4.506
_cell_angle_alpha 90.00
_cell_angle_beta 99.68
_cell_angle_gamma 90.00
_space_group_name_H-M_alt 'C 1 m 1'
_space_group_IT_number 8
loop_
_space_group_symop_operation_xyz
'x,y,z'
'x,-y,z'
'x+1/2,y+1/2,z'
'x+1/2,-y+1/2,z'
loop_
_atom_site_label
_atom_site_type_symbol
_atom_site_fract_x
_atom_site_fract_y
_atom_site_fract_z
Al1 Al 0.000 0.000 0.000
Co1 Co 0.249 0.500 0.211
Os1 Os 0.243 0.000 0.713
Os2 Os 0.497 0.000 0.489
# Energy of formation   -0.06 eV/atom



3.
# Al2CoOs (PBE, relaxed)
data_Al2CoOs
_chemical_formula_sum 'Al4 Co2 Os2'
_cell_length_a 3.063
_cell_length_b 4.413
_cell_length_c 7.812
_cell_angle_alpha 90.00
_cell_angle_beta 90.00
_cell_angle_gamma 90.00
_space_group_name_H-M_alt 'I m m m'
_space_group_IT_number 71
_space_group_name_Hall '-I 2 2'
loop_
_atom_site_label
_atom_site_type_symbol
_atom_site_fract_x
_atom_site_fract_y
_atom_site_fract_z
Al1 Al 0.000 0.000 0.239
Co1 Co 0.000 0.500 0.500
Os1 Os 0.000 0.500 0.000
# Energy of formation   -0.24 eV/atom
# E above lowest polymorph   0.269 eV per atom



4.
# Al2CoOs (PBE, relaxed)
data_Al2CoOs
_chemical_formula_sum 'Al4 Co2 Os2'
_cell_length_a 8.225
_cell_length_b 2.756
_cell_length_c 4.795
_cell_angle_alpha 90.00
_cell_angle_beta 101.54
_cell_angle_gamma 90.00
_space_group_name_H-M_alt 'C 1 2/m 1'
_space_group_IT_number 12
loop_
_space_group_symop_operation_xyz
'x,y,z'
'-x,-y,-z'
'-x,y,-z'
'x,-y,z'
'x+1/2,y+1/2,z'
'-x+1/2,-y+1/2,-z'
'-x+1/2,y+1/2,-z'
'x+1/2,-y+1/2,z'
loop_
_atom_site_label
_atom_site_type_symbol
_atom_site_fract_x
_atom_site_fract_y
_atom_site_fract_z
Al1 Al 0.246 0.000 0.240
Co1 Co 0.000 0.500 0.000
Os1 Os 0.000 0.000 0.500
# Energy of formation   -0.20 eV/atom
# E above lowest polymorph   0.305 eV per atom



5.
# Al2CoOs (PBE, relaxed)
data_Al2CoOs
_chemical_formula_sum 'Al4 Co2 Os2'
_cell_length_a 2.948
_cell_length_b 4.604
_cell_length_c 7.922
_cell_angle_alpha 90.00
_cell_angle_beta 90.00
_cell_angle_gamma 90.00
_space_group_name_H-M_alt 'C m m m'
_space_group_IT_number 65
_space_group_name_Hall '-C 2 2'
loop_
_atom_site_label
_atom_site_type_symbol
_atom_site_fract_x
_atom_site_fract_y
_atom_site_fract_z
Al1 Al 0.000 0.000 0.237
Co1 Co 0.000 0.500 0.000
Os1 Os 0.000 0.500 0.500
# Energy of formation   -0.17 eV/atom
# E above lowest polymorph   0.335 eV per atom



6.
# AlCo2Os (PBE, relaxed)
data_AlCo2Os
_chemical_formula_sum 'Al2 Co4 Os2'
_cell_length_a 5.249
_cell_length_b 7.012
_cell_length_c 2.646
_cell_angle_alpha 90.00
_cell_angle_beta 90.00
_cell_angle_gamma 90.00
_space_group_name_H-M_alt 'C m m m'
_space_group_IT_number 65
_space_group_name_Hall '-C 2 2'
loop_
_atom_site_label
_atom_site_type_symbol
_atom_site_fract_x
_atom_site_fract_y
_atom_site_fract_z
Al1 Al 0.000 0.000 0.000
Co1 Co 0.250 0.250 0.500
Os1 Os 0.000 0.500 0.000
# Energy of formation   -0.13 eV/atom



7.
# AlCo2Os (PBE, relaxed)
data_AlCo2Os
_chemical_formula_sum 'Al1 Co2 Os1'
_cell_length_a 2.944
_cell_length_b 4.099
_cell_length_c 4.151
_cell_angle_alpha 90.00
_cell_angle_beta 90.00
_cell_angle_gamma 90.00
_space_group_name_H-M_alt 'P m m m'
_space_group_IT_number 47
loop_
_space_group_symop_operation_xyz
'x,y,z'
'-x,-y,-z'
'-x,-y,z'
'x,y,-z'
'x,-y,-z'
'-x,y,z'
'-x,y,-z'
'x,-y,z'
loop_
_atom_site_label
_atom_site_type_symbol
_atom_site_fract_x
_atom_site_fract_y
_atom_site_fract_z
Al1 Al 0.000 0.000 0.000
Co1 Co 0.000 0.500 0.500
Co2 Co 0.500 0.000 0.500
Os1 Os 0.500 0.500 0.000
# Energy of formation   -0.08 eV/atom



8.
# AlCo2Os (PBE, relaxed)
data_AlCo2Os
_chemical_formula_sum 'Al2 Co4 Os2'
_cell_length_a 8.467
_cell_length_b 2.670
_cell_length_c 4.458
_cell_angle_alpha 90.00
_cell_angle_beta 100.24
_cell_angle_gamma 90.00
_space_group_name_H-M_alt 'C 1 2/m 1'
_space_group_IT_number 12
loop_
_space_group_symop_operation_xyz
'x,y,z'
'-x,-y,-z'
'-x,y,-z'
'x,-y,z'
'x+1/2,y+1/2,z'
'-x+1/2,-y+1/2,-z'
'-x+1/2,y+1/2,-z'
'x+1/2,-y+1/2,z'
loop_
_atom_site_label
_atom_site_type_symbol
_atom_site_fract_x
_atom_site_fract_y
_atom_site_fract_z
Al1 Al 0.000 0.000 0.000
Co1 Co 0.249 0.000 0.744
Os1 Os 0.000 0.500 0.500
# Energy of formation   -0.06 eV/atom